Record 1
VASP calculation (PBE) on a relaxed Pr3TcN6 crystal.

a b c (Å): 5.465 7.940 7.940
angles (deg): 103.27 90.00 90.00
Fractional positions:
N1 0.212 0.667 0.651
N2 0.687 0.206 0.794
Pr1 0.441 0.393 0.607
Pr2 0.473 0.301 0.085
Tc1 0.021 0.195 0.805
N3 0.663 0.595 0.112
N4 0.163 0.112 0.595
N5 0.163 0.405 0.888
Pr3 0.941 0.607 0.393
Pr4 0.973 0.085 0.301
N6 0.712 0.333 0.349
N7 0.187 0.794 0.206
Pr5 0.473 0.915 0.699
N8 0.640 0.942 0.058
Tc2 0.521 0.805 0.195
N9 0.212 0.349 0.333
N10 0.663 0.888 0.405
Pr6 0.973 0.699 0.915
N11 0.712 0.651 0.667
N12 0.140 0.058 0.942

formation energy from raw total energies = -6.3 eV/f.u.


Record 2
VASP calculation (PBE) on a relaxed LiAc2Ga6Rh crystal.

a b c (Å): 6.780 6.780 6.765
angles (deg): 60.04 60.04 90.04
Fractional positions:
Li1 0.500 0.500 0.000
Ac1 0.250 0.750 0.500
Rh1 0.000 0.000 0.000
Ac2 0.750 0.250 0.500
Ga1 0.741 0.741 0.001
Ga2 0.259 0.741 0.000
Ga3 0.259 0.259 0.482
Ga4 0.741 0.741 0.518
Ga5 0.741 0.259 0.000
Ga6 0.259 0.259 0.999

formation enthalpy at 0 K = -0.385 eV per atom


Record 3
VASP calculation (PBE) on a relaxed K2SrCl2 crystal.

a b c (Å): 8.413 8.413 6.275
angles (deg): 90.00 90.00 90.00
Fractional positions:
Cl1 0.246 0.746 0.000
K1 0.313 0.187 0.500
K2 0.687 0.813 0.500
Cl2 0.746 0.754 0.000
Sr1 0.000 0.000 0.000
K3 0.813 0.313 0.500
Cl3 0.254 0.246 0.000
Cl4 0.754 0.254 0.000
Sr2 0.500 0.500 0.000
K4 0.187 0.687 0.500

formation energy from raw total energies = -6.7 eV/f.u.


Record 4
VASP calculation (PBE) on a relaxed Rb2Hg4PbAu3 crystal.

a b c (Å): 4.718 4.718 13.233
angles (deg): 90.00 90.00 90.00
Fractional positions:
Hg1 0.000 0.500 0.348
Au1 0.000 0.500 0.136
Rb1 0.500 0.000 0.235
Hg2 0.500 0.000 0.652
Au2 0.000 0.000 0.500
Rb2 0.000 0.500 0.765
Pb1 0.500 0.500 0.500
Au3 0.500 0.000 0.864
Hg3 0.500 0.500 0.000
Hg4 0.000 0.000 0.000

formation enthalpy at 0 K = -0.169 eV per atom


Record 5
VASP calculation (PBE) on a relaxed PmYPd crystal.

a b c (Å): 3.927 4.819 4.819
angles (deg): 120.00 90.00 90.00
Fractional positions:
Pm1 0.049 0.000 0.000
Y1 0.588 0.667 0.333
Pd1 0.363 0.333 0.667

formation enthalpy at 0 K = -0.369 eV per atom


Record 6
VASP calculation (PBE) on a relaxed La3Pm4Pr4 crystal.

a b c (Å): 3.668 11.518 11.351
angles (deg): 120.49 99.30 90.00
Fractional positions:
La1 0.102 0.102 0.204
Pr1 0.668 0.900 0.336
Pm1 0.231 0.731 0.462
La2 0.898 0.898 0.796
Pm2 0.769 0.269 0.538
Pr2 0.668 0.435 0.336
Pm3 0.500 0.789 0.000
Pr3 0.332 0.100 0.664
La3 0.000 0.500 0.000
Pm4 0.500 0.211 0.000
Pr4 0.332 0.565 0.664

formation enthalpy at 0 K = 0.153 eV per atom


Record 7
VASP calculation (PBE) on a relaxed FeSnOs crystal.

a b c (Å): 2.860 2.836 6.039
angles (deg): 90.00 90.20 90.00
Fractional positions:
Os1 0.877 0.000 0.910
Fe1 0.378 0.500 0.150
Sn1 0.372 0.000 0.518

formation enthalpy at 0 K = 0.363 eV per atom


Record 8
VASP calculation (PBE) on a relaxed Cr2AgRh crystal.

a b c (Å): 2.676 2.676 8.627
angles (deg): 90.00 90.00 114.11
Fractional positions:
Ag1 0.500 0.500 0.758
Cr1 0.500 0.500 0.233
Rh1 0.000 0.000 0.473
Cr2 0.000 0.000 0.037

formation enthalpy at 0 K = 0.260 eV per atom


| no. | M_tot (μB/atom) |
| --- | --- |
| 1 | 0.055 |
| 2 | 0.000 |
| 3 | 0.000 |
| 4 | 0.000 |
| 5 | 0.000 |
| 6 | 0.000 |
| 7 | 0.034 |
| 8 | 0.000 |